Entry 1:
Density functional theory data (GGA-PBE) for a relaxed TbTmPd2 crystal.

## Properties
The calculation puts the spin magnetization at 0.0 μB/f.u. The formation energy is -0.937 eV/atom. The calculation puts the total energy at -5.80 eV/atom.

Unit cell a=4.4712 b=6.8716 c=5.6473 alpha=90.00 beta=90.00 gamma=90.00
Last column: nearest neighbours and their distance in Å.
Fractional coordinates of all 8 atoms:
Pd: 0.5000 0.1994 0.3453  4 Tm 2.89-3.03, 2 Pd 2.89, 3 Tb 2.98-3.04
Pd: 0.0000 0.8006 0.8453  4 Tm 2.89-3.03, 2 Pd 2.89, 3 Tb 2.98-3.04
Pd: 0.0000 0.2830 0.6547  2 Pd 2.89, 3 Tm 2.92-2.94, 4 Tb 2.93-3.07
Pd: 0.5000 0.7170 0.1547  2 Pd 2.89, 3 Tm 2.92-2.94, 4 Tb 2.93-3.07
Tm: 0.5000 0.0682 0.8584  7 Pd 2.89-3.03
Tm: 0.0000 0.9318 0.3584  7 Pd 2.89-3.03
Tb: 0.0000 0.4315 0.1416  7 Pd 2.93-3.07
Tb: 0.5000 0.5685 0.6416  7 Pd 2.93-3.07

---

Entry 2:
Density functional theory data (GGA-PBE) for a relaxed TbUPd crystal.

## Properties
The calculation puts the spin magnetization at 3.9 μB/f.u. The formation energy is 0.176 eV/atom. The calculation puts the total energy at -6.86 eV/atom.

Unit cell a=4.8486 b=4.8486 c=4.8486 alpha=60.00 beta=60.00 gamma=60.00
Last column: nearest neighbours and their distance in Å.
Fractional coordinates of all 3 atoms:
Pd: 0.0000 0.0000 0.0000  4 Tb 2.97, 4 U 2.97
U: 0.7500 0.7500 0.7500  4 Pd 2.97
Tb: 0.2500 0.2500 0.2500  4 Pd 2.97

---

Entry 3:
Density functional theory data (GGA-PBE) for a relaxed TbPdW crystal.

## Properties
The calculation puts the spin magnetization at 0.1 μB/f.u. The formation energy is 0.620 eV/atom. The calculation puts the total energy at -6.97 eV/atom.

Unit cell a=4.5587 b=4.5587 c=4.5587 alpha=60.00 beta=60.00 gamma=60.00
Last column: nearest neighbours and their distance in Å.
Fractional coordinates of all 3 atoms:
Tb: 0.2500 0.2500 0.2500  4 Pd 2.79
Pd: 0.0000 0.0000 0.0000  4 Tb 2.79, 4 W 2.79
W: 0.7500 0.7500 0.7500  4 Pd 2.79

---

Entry 4:
Density functional theory data (GGA-PBE) for a relaxed TbYPd3 crystal.

## Properties
The calculation puts the spin magnetization at 0.2 μB/f.u. The formation energy is -0.137 eV/atom. The calculation puts the total energy at -5.46 eV/atom.

Unit cell a=7.0187 b=7.0187 c=5.4702 alpha=90.00 beta=90.00 gamma=119.99
Last column: nearest neighbours and their distance in Å.
Fractional coordinates of all 10 atoms:
Pd: 0.5826 0.7913 0.2500  1 Y 2.54, 2 Pd 2.62
Pd: 0.4174 0.2087 0.7500  1 Y 2.54, 2 Pd 2.62
Pd: 0.2087 0.7913 0.2500  1 Y 2.54, 2 Pd 2.62
Pd: 0.7913 0.2087 0.7500  1 Y 2.54, 2 Pd 2.62
Pd: 0.2087 0.4174 0.2500  1 Y 2.54, 2 Pd 2.62
Pd: 0.7913 0.5826 0.7500  1 Y 2.54, 2 Pd 2.62
Y: 0.0000 0.0000 0.2500  3 Pd 2.54, 2 Y 2.74
Y: 0.0000 0.0000 0.7500  3 Pd 2.54, 2 Y 2.74
Tb: 0.6666 0.3333 0.2500  6 Pd 3.13
Tb: 0.3333 0.6666 0.7500  6 Pd 3.13

---

Entry 5:
Density functional theory data (GGA-PBE) for a relaxed TbYPd6 crystal.

## Properties
The calculation puts the spin magnetization at 0.0 μB/f.u. The formation energy is -0.874 eV/atom. The calculation puts the total energy at -6.14 eV/atom.

Unit cell a=4.1211 b=4.1211 c=8.2431 alpha=90.00 beta=90.00 gamma=90.00
Last column: nearest neighbours and their distance in Å.
Fractional coordinates of all 8 atoms:
Pd: 0.5000 0.0000 0.2503  8 Pd 2.91-2.92, 2 Tb 2.91, 2 Y 2.92
Pd: 0.5000 0.5000 0.5000  8 Pd 2.91, 4 Tb 2.91
Pd: 0.5000 0.0000 0.7497  8 Pd 2.91-2.92, 2 Tb 2.91, 2 Y 2.92
Pd: 0.5000 0.5000 0.0000  4 Y 2.91, 8 Pd 2.92
Pd: 0.0000 0.5000 0.7497  8 Pd 2.91-2.92, 2 Tb 2.91, 2 Y 2.92
Pd: 0.0000 0.5000 0.2503  8 Pd 2.91-2.92, 2 Tb 2.91, 2 Y 2.92
Y: 0.0000 0.0000 0.0000  12 Pd 2.91-2.92
Tb: 0.0000 0.0000 0.5000  12 Pd 2.91

---

Entry 6:
Density functional theory data (GGA-PBE) for a relaxed Tb3YPd4 crystal.

## Properties
The calculation puts the spin magnetization at 0.0 μB/f.u. The formation energy is -0.911 eV/atom. The calculation puts the total energy at -6.04 eV/atom.

Unit cell a=5.6882 b=4.5024 c=6.9242 alpha=90.00 beta=90.02 gamma=90.00
Last column: nearest neighbours and their distance in Å.
Fractional coordinates of all 8 atoms:
Tb: 0.8574 0.0000 0.8180  7 Pd 2.93-3.07
Tb: 0.3577 0.5000 0.6818  7 Pd 2.94-3.07
Tb: 0.1427 0.5000 0.1825  7 Pd 2.94-3.08
Pd: 0.3445 0.0000 0.9579  2 Pd 2.92, 6 Tb 2.93-3.07, 1 Y 3.01
Pd: 0.8456 0.5000 0.5424  2 Pd 2.91, 5 Tb 2.94-3.07, 2 Y 2.97
Pd: 0.1544 0.0000 0.4593  2 Pd 2.91, 2 Y 2.95-3.07, 5 Tb 2.96-3.00
Pd: 0.6548 0.5000 0.0403  2 Pd 2.92, 5 Tb 2.94-3.08, 2 Y 2.96
Y: 0.6427 0.0000 0.3178  7 Pd 2.95-3.07

---

Entry 7:
Density functional theory data (GGA-PBE) for a relaxed Tb3Zn2Pd crystal.

## Properties
The calculation puts the spin magnetization at 0.1 μB/f.u. The formation energy is -0.539 eV/atom. The calculation puts the total energy at -4.14 eV/atom.

Unit cell a=3.5831 b=3.5831 c=10.5346 alpha=90.00 beta=90.00 gamma=90.00
Last column: nearest neighbours and their distance in Å.
Fractional coordinates of all 6 atoms:
Tb: 0.5000 0.5000 0.6619  4 Pd 3.05, 4 Zn 3.12, 1 Tb 3.41
Tb: 0.5000 0.5000 0.3381  4 Pd 3.05, 4 Zn 3.12, 1 Tb 3.41
Tb: 0.5000 0.5000 0.0000  8 Zn 3.07
Pd: 0.0000 0.0000 0.5000  8 Tb 3.05
Zn: 0.0000 0.0000 0.8346  8 Tb 3.07-3.12
Zn: 0.0000 0.0000 0.1654  8 Tb 3.07-3.12

---

Entry 8:
Density functional theory data (GGA-PBE) for a relaxed Tb2Zn3Pd4 crystal.

## Properties
The calculation puts the spin magnetization at 0.0 μB/f.u. The formation energy is -0.740 eV/atom. The calculation puts the total energy at -4.49 eV/atom.

Unit cell a=8.1084 b=8.1084 c=7.6310 alpha=90.00 beta=90.00 gamma=139.63
Last column: nearest neighbours and their distance in Å.
Fractional coordinates of all 18 atoms:
Zn: 0.5000 0.5000 0.5000  6 Pd 2.52-2.70
Zn: 0.0000 0.0000 0.0000  6 Pd 2.52-2.70
Zn: 0.9776 0.5224 0.7500  5 Pd 2.59-2.65, 2 Zn 2.80
Zn: 0.5224 0.9776 0.2500  5 Pd 2.59-2.65, 2 Zn 2.80
Zn: 0.4776 0.0224 0.7500  5 Pd 2.59-2.65, 2 Zn 2.80
Zn: 0.0224 0.4776 0.2500  5 Pd 2.59-2.65, 2 Zn 2.80
Tb: 0.6134 0.3866 0.0802  8 Pd 2.99-3.29, 4 Zn 3.08-3.34
Tb: 0.8866 0.1134 0.5802  8 Pd 2.99-3.29, 4 Zn 3.08-3.34
Tb: 0.3866 0.6134 0.9198  8 Pd 2.99-3.29, 4 Zn 3.08-3.34
Tb: 0.1134 0.8866 0.4198  8 Pd 2.99-3.29, 4 Zn 3.08-3.34
Pd: 0.6926 0.8074 0.2500  3 Zn 2.52-2.59, 2 Pd 2.80
Pd: 0.1769 0.8231 0.0240  5 Zn 2.63-2.70
Pd: 0.3074 0.1926 0.7500  3 Zn 2.52-2.59, 2 Pd 2.80
Pd: 0.3231 0.6769 0.5240  5 Zn 2.63-2.70
Pd: 0.8231 0.1769 0.9760  5 Zn 2.63-2.70
Pd: 0.1926 0.3074 0.2500  3 Zn 2.52-2.59, 2 Pd 2.80
Pd: 0.8074 0.6926 0.7500  3 Zn 2.52-2.59, 2 Pd 2.80
Pd: 0.6769 0.3231 0.4760  5 Zn 2.63-2.70

---

Entry 9:
Density functional theory data (GGA-PBE) for a relaxed TcPd2 crystal.

## Properties
The calculation puts the spin magnetization at 0.0 μB/f.u. The formation energy is 0.526 eV/atom. The calculation puts the total energy at -6.38 eV/atom.

Unit cell a=5.0789 b=5.0789 c=5.0789 alpha=60.00 beta=60.00 gamma=60.00
Last column: nearest neighbours and their distance in Å.
Fractional coordinates of all 6 atoms:
Pd: 0.6250 0.6250 0.6250  6 Pd 2.54
Pd: 0.6250 0.1250 0.6250  6 Pd 2.54
Pd: 0.6250 0.6250 0.1250  6 Pd 2.54
Pd: 0.1250 0.6250 0.6250  6 Pd 2.54
Tc: 0.2500 0.2500 0.2500  12 Pd 2.98, 4 Tc 3.11
Tc: 0.0000 0.0000 0.0000  12 Pd 2.98, 4 Tc 3.11

---

Entry 10:
Density functional theory data (GGA-PBE) for a relaxed TcPd crystal.

## Properties
The calculation puts the spin magnetization at 2.5 μB/f.u. The formation energy is 1.165 eV/atom. The calculation puts the total energy at -6.60 eV/atom.

Unit cell a=3.6862 b=3.6862 c=3.6862 alpha=60.00 beta=60.00 gamma=60.00
Last column: nearest neighbours and their distance in Å.
Fractional coordinates of all 2 atoms:
Tc: 0.5000 0.5000 0.5000  6 Pd 2.61
Pd: 0.0000 0.0000 0.0000  6 Tc 2.61

---

Entry 11:
Density functional theory data (GGA-PBE) for a relaxed TcPd crystal.

## Properties
The calculation puts the spin magnetization at 0.0 μB/f.u. The formation energy is 0.101 eV/atom. The calculation puts the total energy at -7.67 eV/atom.

Unit cell a=2.7400 b=2.7400 c=4.5200 alpha=90.00 beta=90.00 gamma=120.00
Last column: nearest neighbours and their distance in Å.
Fractional coordinates of all 2 atoms:
Tc: 0.3333 0.6667 0.2500  6 Tc 2.74, 6 Pd 2.76
Pd: 0.6667 0.3333 0.7500  6 Pd 2.74, 6 Tc 2.76

---

Entry 12:
Density functional theory data (GGA-PBE) for a relaxed TcPd crystal.

## Properties
The calculation puts the spin magnetization at 0.0 μB/f.u. The formation energy is 1.506 eV/atom. The calculation puts the total energy at -6.26 eV/atom.

Unit cell a=3.9419 b=3.9419 c=3.9419 alpha=60.00 beta=60.00 gamma=60.00
Last column: nearest neighbours and their distance in Å.
Fractional coordinates of all 2 atoms:
Pd: 0.0000 0.0000 0.0000  4 Tc 2.41
Tc: 0.2500 0.2500 0.2500  4 Pd 2.41

---

Entry 13:
Density functional theory data (GGA-PBE) for a relaxed TcTe2Pd crystal.

## Properties
The calculation puts the spin magnetization at 2.4 μB/f.u. The calculation puts the total energy at -4.75 eV/atom.

Unit cell a=4.9026 b=4.9026 c=4.9026 alpha=60.00 beta=60.00 gamma=60.00
Last column: nearest neighbours and their distance in Å.
Fractional coordinates of all 4 atoms:
Pd: 0.7500 0.7500 0.7500  4 Tc 3.00, 4 Te 3.00
Te: 0.2500 0.2500 0.2500  4 Te 3.00, 4 Tc 3.00
Te: 0.5000 0.5000 0.5000  4 Te 3.00, 4 Pd 3.00
Tc: 0.0000 0.0000 0.0000  4 Te 3.00, 4 Pd 3.00